Here is crystalline Sm4Tm5 at its relaxed geometry from the Alexandria database. Energies are from PBE.

Cell lengths 3.6400, 12.0706, 12.9885 Å; angles 90.00, 90.00, 90.00 degrees
Closest atoms and distances in Å follow each position.
Space group Immm (No. 71)
Unique sites:
1 Sm 0.0000 0.1434 0.1890  5 Sm 3.46-3.64, 6 Tm 3.48-3.57
2 Tm 0.0000 0.2037 0.5000  7 Tm 3.46-3.64, 4 Sm 3.57
3 Tm 0.0000 0.5000 0.1251  5 Tm 3.25-3.46, 4 Sm 3.48
4 Tm 0.0000 0.5000 0.5000  8 Sm 3.51, 4 Tm 3.58-3.64

Fermi-level density of states (states/eV/cell): 23.7
Energy above the lowest structure with this stoichiometry (meV/atom): 12.0
Energy of formation from the pure elements (eV/atom): 0.03